Compound: Pm5Cu5Ni2
Source: Alexandria via LeMat-Bulk
Functional: GGA-PBE
Structure: relaxed

As for the energy relative to the elements: -0.2228 eV/atom. For the calculated volume, the calculation gives 253.9 Å³/f.u. The calculation puts the total energy at -116.94 eV per cell.

It has space group C2/m (No. 12), with a = 15.2881 Å, b = 4.0026 Å, c = 11.2673 Å, α = 90.00°, β = 132.57° and γ = 90.00°. Symmetry generates all atoms from Pm at (0.0000, 0.0000, 0.0000), Pm at (0.1177, 0.5000, 0.8187), Pm at (0.1972, 0.5000, 0.5893), Cu at (0.0000, 0.0000, 0.5000), Cu at (0.0673, 0.0000, 0.3323), Cu at (0.2141, 0.5000, 0.1534) and Ni at (0.1130, 0.5000, 0.2601).

***

Compound: PmCu11Ni
Source: Alexandria via LeMat-Bulk
Functional: GGA-PBE
Structure: relaxed

As for the energy relative to the elements: -0.0841 eV/atom. For the calculated volume, the calculation gives 174.9 Å³/f.u. The calculation puts the total energy at -113.37 eV per cell.

It has space group C2/m (No. 12), with a = 4.8405 Å, b = 12.1011 Å, c = 6.3933 Å, α = 90.00°, β = 110.93° and γ = 90.00°. Symmetry generates all atoms from Pm at (0.0000, 0.0000, 0.0000), Cu at (0.0000, 0.5000, 0.5000), Cu at (0.1124, 0.3871, 0.2263), Cu at (0.1670, 0.1765, 0.3581), Cu at (0.2500, 0.2500, 0.0000) and Ni at (0.0000, 0.0000, 0.5000).

***

Compound: Pm3Cu2Ni2
Source: Alexandria via LeMat-Bulk
Functional: GGA-PBE
Structure: relaxed

As for the energy relative to the elements: -0.2876 eV/atom. For the calculated volume, the calculation gives 148.6 Å³/f.u. The calculation puts the total energy at -72.04 eV per cell.

It has space group C2/m (No. 12), with a = 10.5163 Å, b = 3.9505 Å, c = 7.6459 Å, α = 90.00°, β = 110.68° and γ = 90.00°. Symmetry generates all atoms from Pm at (0.0000, 0.0000, 0.0000), Pm at (0.1856, 0.0000, 0.6577), Cu at (0.0260, 0.5000, 0.3406) and Ni at (0.1907, 0.5000, 0.9310).

***

Compound: Pm12CuNi6
Source: Alexandria via LeMat-Bulk
Functional: GGA-PBE
Structure: relaxed

As for the energy relative to the elements: -0.2137 eV/atom. For the calculated volume, the calculation gives 484.3 Å³/f.u. The calculation puts the energy above the most stable polymorph in this dataset at 0 meV per atom. The calculation puts the total energy at -199.71 eV per cell.

It has space group Im-3 (No. 204), with a = 9.8945 Å, b = 9.8945 Å, c = 9.8945 Å, α = 90.00°, β = 90.00° and γ = 90.00°. Symmetry generates all atoms from Pm at (0.0000, 0.1856, 0.3031), Cu at (0.0000, 0.0000, 0.0000) and Ni at (0.0000, 0.3766, 0.5000).

***

Compound: Pm12CuNi6
Source: Alexandria via LeMat-Bulk
Functional: GGA-PBE
Structure: relaxed

As for the energy relative to the elements: -0.0866 eV/atom. For the calculated volume, the calculation gives 528.0 Å³/f.u. The calculation puts the energy above the most stable polymorph in this dataset at 127 meV per atom. The calculation puts the total energy at -292.31 eV per cell.

It has space group R-3 (No. 148, hexagonal axes), with a = 12.5178 Å, b = 12.5178 Å, c = 11.6723 Å, α = 90.00°, β = 90.00° and γ = 120.00°. Symmetry generates all atoms from Pm at (0.0227, 0.2081, 0.3888), Pm at (0.0282, 0.2067, 0.8814), Cu at (0.0000, 0.0000, 0.0000) and Ni at (0.0396, 0.2599, 0.6482).

***

Compound: Pm2CuNi
Source: Alexandria via LeMat-Bulk
Functional: GGA-PBE
Structure: relaxed

As for the energy relative to the elements: -0.2135 eV/atom. For the calculated volume, the calculation gives 87.1 Å³/f.u. The calculation puts the total energy at -80.93 eV per cell.

It has space group Fm-3m (No. 225), with a = 7.0363 Å, b = 7.0363 Å, c = 7.0363 Å, α = 90.00°, β = 90.00° and γ = 90.00°. Symmetry generates all atoms from Pm at (0.2500, 0.2500, 0.2500), Cu at (0.0000, 0.0000, 0.0000) and Ni at (0.0000, 0.0000, 0.5000).

***

Compound: Pm8Cu2Ni
Source: Alexandria via LeMat-Bulk
Functional: GGA-PBE
Structure: relaxed

As for the energy relative to the elements: 0.0061 eV/atom. For the calculated volume, the calculation gives 319.3 Å³/f.u. The calculation puts the energy above the most stable polymorph in this dataset at 87 meV per atom. The calculation puts the total energy at -103.82 eV per cell.

It has space group Cm (No. 8), with a = 9.1928 Å, b = 12.4462 Å, c = 6.0903 Å, α = 90.00°, β = 113.58° and γ = 90.00°. Symmetry generates all atoms from Pm at (0.0000, 0.0000, 0.0000), Pm at (0.1087, 0.3563, 0.8953), Pm at (0.1322, 0.1352, 0.5707), Pm at (0.2369, 0.5000, 0.4354), Pm at (0.3701, 0.1465, 0.2471), Cu at (0.3611, 0.3022, 0.7033) and Ni at (0.3773, 0.0000, 0.9213).

***

Compound: PmCu4Ni
Source: Alexandria via LeMat-Bulk
Functional: GGA-PBE
Structure: relaxed

As for the energy relative to the elements: -0.1162 eV/atom. For the calculated volume, the calculation gives 88.2 Å³/f.u. The calculation puts the energy above the most stable polymorph in this dataset at 0 meV per atom. The calculation puts the total energy at -110.45 eV per cell.

It has space group F-43m (No. 216), with a = 7.0653 Å, b = 7.0653 Å, c = 7.0653 Å, α = 90.00°, β = 90.00° and γ = 90.00°. Symmetry generates all atoms from Pm at (0.0000, 0.0000, 0.0000), Cu at (0.1235, 0.1235, 0.3765) and Ni at (0.2500, 0.2500, 0.7500).

***

Compound: Pm3Cu4Ni2
Source: Alexandria via LeMat-Bulk
Functional: GGA-PBE
Structure: relaxed

As for the energy relative to the elements: -0.2619 eV/atom. For the calculated volume, the calculation gives 172.0 Å³/f.u. The calculation puts the total energy at -89.11 eV per cell.

It has space group C2/m (No. 12), with a = 10.5534 Å, b = 4.1498 Å, c = 8.2559 Å, α = 90.00°, β = 107.94° and γ = 90.00°. Symmetry generates all atoms from Pm at (0.0000, 0.0000, 0.0000), Pm at (0.1726, 0.5000, 0.6598), Cu at (0.0488, 0.0000, 0.3833), Cu at (0.2208, 0.5000, 0.0584) and Ni at (0.1080, 0.5000, 0.2737).

***

Compound: Pm8CuNi2
Source: Alexandria via LeMat-Bulk
Functional: GGA-PBE
Structure: relaxed

As for the energy relative to the elements: -0.0202 eV/atom. For the calculated volume, the calculation gives 313.0 Å³/f.u. The calculation puts the energy above the most stable polymorph in this dataset at 107 meV per atom. The calculation puts the total energy at -107.77 eV per cell.

It has space group Cm (No. 8), with a = 8.3177 Å, b = 12.8743 Å, c = 6.1356 Å, α = 90.00°, β = 107.69° and γ = 90.00°. Symmetry generates all atoms from Pm at (0.0000, 0.0000, 0.0000), Pm at (0.0781, 0.3679, 0.7888), Pm at (0.1473, 0.1330, 0.5683), Pm at (0.2308, 0.5000, 0.3787), Pm at (0.3568, 0.2157, 0.1841), Cu at (0.3692, 0.0000, 0.3770) and Ni at (0.3669, 0.3082, 0.6932).

***

Compound: PmCu3Ni2
Source: Alexandria via LeMat-Bulk
Functional: GGA-PBE
Structure: relaxed

As for the energy relative to the elements: -0.2410 eV/atom. For the calculated volume, the calculation gives 88.1 Å³/f.u. The calculation puts the energy above the most stable polymorph in this dataset at 0 meV per atom. The calculation puts the total energy at -30.05 eV per cell.

It has space group P6/mmm (No. 191), with a = 4.9853 Å, b = 4.9853 Å, c = 4.0942 Å, α = 90.00°, β = 90.00° and γ = 120.00°. Symmetry generates all atoms from Pm at (0.0000, 0.0000, 0.0000), Cu at (0.0000, 0.5000, 0.5000) and Ni at (0.3333, 0.6667, 0.0000).

***

Compound: Pm2Cu15Ni2
Source: Alexandria via LeMat-Bulk
Functional: GGA-PBE
Structure: relaxed

As for the energy relative to the elements: -0.1089 eV/atom. For the calculated volume, the calculation gives 265.0 Å³/f.u. The calculation puts the total energy at -253.73 eV per cell.

It has space group R-3m (No. 166, hexagonal axes), with a = 8.5743 Å, b = 8.5743 Å, c = 12.4881 Å, α = 90.00°, β = 90.00° and γ = 120.00°. Symmetry generates all atoms from Pm at (0.0000, 0.0000, 0.1647), Cu at (0.0000, 0.2895, 0.5000), Cu at (0.0000, 0.5000, 0.0000), Cu at (0.0016, 0.5008, 0.3462) and Ni at (0.0000, 0.0000, 0.4028).

***

Compound: PmCu5Ni
Source: Alexandria via LeMat-Bulk
Functional: GGA-PBE
Structure: relaxed

As for the energy relative to the elements: -0.1299 eV/atom. For the calculated volume, the calculation gives 101.9 Å³/f.u. The calculation puts the total energy at -127.69 eV per cell.

It has space group Pnma (No. 62), with a = 8.0303 Å, b = 5.0737 Å, c = 9.9993 Å, α = 90.00°, β = 90.00° and γ = 90.00°. Symmetry generates all atoms from Pm at (0.2410, 0.2500, 0.0660), Cu at (0.0636, 0.0065, 0.3074), Cu at (0.0648, 0.7500, 0.0909), Cu at (0.1039, 0.2500, 0.5170), Cu at (0.1829, 0.2500, 0.7597) and Ni at (0.1511, 0.7500, 0.8522).

***

Compound: Pm2CuNi
Source: Alexandria via LeMat-Bulk
Functional: GGA-PBE
Structure: relaxed

As for the energy relative to the elements: -0.2114 eV/atom. For the calculated volume, the calculation gives 87.0 Å³/f.u. The calculation puts the total energy at -20.22 eV per cell.

It has space group P4/mmm (No. 123), with a = 3.5134 Å, b = 3.5134 Å, c = 7.0467 Å, α = 90.00°, β = 90.00° and γ = 90.00°. Symmetry generates all atoms from Pm at (0.0000, 0.0000, 0.2419), Cu at (0.5000, 0.5000, 0.5000) and Ni at (0.5000, 0.5000, 0.0000).

***

Compound: PmCu3Ni2
Source: Alexandria via LeMat-Bulk
Functional: GGA-PBE
Structure: relaxed

As for the energy relative to the elements: 0.0855 eV/atom. For the calculated volume, the calculation gives 89.1 Å³/f.u. The calculation puts the energy above the most stable polymorph in this dataset at 327 meV per atom. The calculation puts the total energy at -168.53 eV per cell.

It has space group R-3m (No. 166, hexagonal axes), with a = 5.6655 Å, b = 5.6655 Å, c = 19.2299 Å, α = 90.00°, β = 90.00° and γ = 120.00°. Symmetry generates all atoms from Pm at (0.0000, 0.0000, 0.2233), Cu at (0.0316, 0.5158, 0.2307), Ni at (0.0000, 0.0000, 0.0000) and Ni at (0.0000, 0.5000, 0.0000).

***

Compound: PmCuNi2
Source: Alexandria via LeMat-Bulk
Functional: GGA-PBE
Structure: relaxed

As for the energy relative to the elements: -0.3023 eV/atom. For the calculated volume, the calculation gives 61.7 Å³/f.u. The calculation puts the energy above the most stable polymorph in this dataset at 0 meV per atom. The calculation puts the total energy at -194.57 eV per cell.

It has space group R-3m (No. 166, hexagonal axes), with a = 5.0981 Å, b = 5.0981 Å, c = 24.6631 Å, α = 90.00°, β = 90.00° and γ = 120.00°. Symmetry generates all atoms from Pm at (0.0000, 0.0000, 0.0000), Pm at (0.0000, 0.0000, 0.1374), Cu at (0.0000, 0.0000, 0.3332), Cu at (0.0000, 0.0000, 0.5000) and Ni at (0.0013, 0.5006, 0.9181).

***

Compound: Pm3Cu9Ni2
Source: Alexandria via LeMat-Bulk
Functional: GGA-PBE
Structure: relaxed

As for the energy relative to the elements: -0.1866 eV/atom. For the calculated volume, the calculation gives 226.4 Å³/f.u. The calculation puts the total energy at -130.58 eV per cell.

It has space group Immm (No. 71), with a = 4.1823 Å, b = 8.9374 Å, c = 12.1130 Å, α = 90.00°, β = 90.00° and γ = 90.00°. Symmetry generates all atoms from Pm at (0.0000, 0.0000, 0.0000), Pm at (0.0000, 0.0000, 0.3088), Cu at (0.0000, 0.2779, 0.1170), Cu at (0.0000, 0.3531, 0.3281), Cu at (0.0000, 0.5000, 0.0000) and Ni at (0.0000, 0.1948, 0.5000).

***

Compound: Pm2Cu4Ni5
Source: Alexandria via LeMat-Bulk
Functional: GGA-PBE
Structure: relaxed

As for the energy relative to the elements: -0.1806 eV/atom. For the calculated volume, the calculation gives 169.3 Å³/f.u. The calculation puts the total energy at -227.12 eV per cell.

It has space group Fmmm (No. 69), with a = 5.0885 Å, b = 8.6323 Å, c = 15.4134 Å, α = 90.00°, β = 90.00° and γ = 90.00°. Symmetry generates all atoms from Pm at (0.0000, 0.0000, 0.1327), Cu at (0.0000, 0.1604, 0.3719), Ni at (0.0000, 0.0000, 0.5000), Ni at (0.2500, 0.2500, 0.0000) and Ni at (0.2500, 0.2500, 0.2500).

***

Compound: PmCu2Ni
Source: Alexandria via LeMat-Bulk
Functional: GGA-PBE
Structure: relaxed

As for the energy relative to the elements: -0.1602 eV/atom. For the calculated volume, the calculation gives 70.2 Å³/f.u. The calculation puts the total energy at -58.09 eV per cell.

It has space group R-3m (No. 166, hexagonal axes), with a = 4.1459 Å, b = 4.1459 Å, c = 14.1438 Å, α = 90.00°, β = 90.00° and γ = 120.00°. Symmetry generates all atoms from Pm at (0.0000, 0.0000, 0.0000), Cu at (0.0000, 0.0000, 0.2023) and Ni at (0.0000, 0.0000, 0.5000).

***

Compound: PmCu2Ni
Source: Alexandria via LeMat-Bulk
Functional: GGA-PBE
Structure: relaxed

As for the energy relative to the elements: -0.0036 eV/atom. For the calculated volume, the calculation gives 71.6 Å³/f.u. The calculation puts the total energy at -37.48 eV per cell.

It has space group Cmmm (No. 65), with a = 5.1040 Å, b = 6.5497 Å, c = 4.2822 Å, α = 90.00°, β = 90.00° and γ = 90.00°. Symmetry generates all atoms from Pm at (0.0000, 0.0000, 0.0000), Cu at (0.0000, 0.3185, 0.5000) and Ni at (0.0000, 0.5000, 0.0000).

***

Compound: PmPrCuNi
Source: Alexandria via LeMat-Bulk
Functional: GGA-PBE
Structure: relaxed

As for the energy relative to the elements: -0.2441 eV/atom. For the calculated volume, the calculation gives 91.9 Å³/f.u. The calculation puts the energy above the most stable polymorph in this dataset at 0 meV per atom. The calculation puts the total energy at -40.77 eV per cell.

It has space group Amm2 (No. 38), with a = 4.4716 Å, b = 3.8554 Å, c = 10.6635 Å, α = 90.00°, β = 90.00° and γ = 90.00°. Symmetry generates all atoms from Pm at (0.0000, 0.0000, 0.0000), Pr at (0.5000, 0.0000, 0.7228), Cu at (0.0000, 0.0000, 0.2947) and Ni at (0.5000, 0.0000, 0.4294).

***

Compound: PmPrCuNi
Source: Alexandria via LeMat-Bulk
Functional: GGA-PBE
Structure: relaxed

As for the energy relative to the elements: -0.1794 eV/atom. For the calculated volume, the calculation gives 89.1 Å³/f.u. The calculation puts the energy above the most stable polymorph in this dataset at 65 meV per atom. The calculation puts the total energy at -80.50 eV per cell.

It has space group F-43m (No. 216), with a = 7.0907 Å, b = 7.0907 Å, c = 7.0907 Å, α = 90.00°, β = 90.00° and γ = 90.00°. Symmetry generates all atoms from Pm at (0.0000, 0.0000, 0.0000), Pr at (0.0000, 0.0000, 0.5000), Cu at (0.2500, 0.2500, 0.7500) and Ni at (0.2500, 0.2500, 0.2500).